MgV2CrCu: relaxed, GGA-PBE.

Values from the calculation:
Magnetization   9.47 μB per cell
Space-group type   P4/mmm (123)
Formation energy from the elements   1.200 eV per atom

```
MgV2CrCu
1.0
-3.7584 0.5353 -2.6094
-0.5709 -4.6687 -0.1354
-2.6045 0.2085 3.7940
Cr Mg Cu V
1 1 1 2
direct
0.0000 0.5000 0.0000
0.5000 0.5000 0.5000
0.0000 0.0000 0.0000
0.0000 0.0000 0.5000
0.5000 0.0000 0.0000
```